Below is a relaxed LiGeBr3 crystal, with properties calculated at the PBE-GGA level.

a b c (Å): 6.8420 4.0481 10.3723
angles (deg): 90.00 103.36 90.00
Space group P2_1/m (No. 11)
Inequivalent atoms, fractional coordinates:
1 Li 0.2187 0.2500 0.4729 x2
2 Ge 0.3536 0.2500 0.8235 x2
3 Br 0.0122 0.7500 0.3409 x2
4 Br 0.2430 0.7500 0.9736 x2
5 Br 0.4614 0.7500 0.6457 x2

Computed properties:
E_form (uncorrected) (eV per atom): -0.925


Below is a relaxed Li2Ge2Br7 crystal, with properties calculated at the PBE-GGA level.

a b c (Å): 11.7186 10.3863 7.3294
angles (deg): 90.00 122.32 90.00
Space group C2/m (No. 12)
Inequivalent atoms, fractional coordinates:
1 Li 0.0000 0.1790 0.0000 x4
2 Ge 0.1975 0.5000 0.4079 x4
3 Br 0.0000 0.5000 0.5000 x2
4 Br 0.0501 0.0000 0.2851 x4
5 Br 0.2118 0.3183 0.1935 x8

Computed properties:
E_form (uncorrected) (eV per atom): -0.831


Below is a relaxed Li3GeBr crystal, with properties calculated at the PBE-GGA level.

a b c (Å): 4.7779 4.7779 4.7779
angles (deg): 90.00 90.00 90.00
Space group Pm-3m (No. 221)
Inequivalent atoms, fractional coordinates:
1 Li 0.0000 0.0000 0.5000 x3
2 Ge 0.5000 0.5000 0.5000 x1
3 Br 0.0000 0.0000 0.0000 x1

Computed properties:
E_form (uncorrected) (eV per atom): -0.335
Offset from the most stable computed form (eV per atom): 0.0000


Below is a relaxed Li2Ge4Br9 crystal, with properties calculated at the PBE-GGA level.

a b c (Å): 6.8127 7.3777 24.0438
angles (deg): 92.38 90.58 114.32
Space group P-1 (No. 2)
Inequivalent atoms, fractional coordinates:
1 Li 0.1231 0.4960 0.3880 x2
2 Li 0.1297 0.4913 0.2224 x2
3 Ge 0.3059 0.1181 0.0169 x2
4 Ge 0.3608 0.3313 0.8312 x2
5 Ge 0.3686 0.1187 0.3359 x2
6 Ge 0.4434 0.2413 0.4488 x2
7 Br 0.0144 0.8024 0.0476 x2
8 Br 0.0738 0.8076 0.3677 x2
9 Br 0.0958 0.2533 0.3053 x2
10 Br 0.1818 0.7431 0.5514 x2
11 Br 0.2616 0.5555 0.7695 x2
12 Br 0.2794 0.4008 0.1336 x2
13 Br 0.3843 0.9634 0.9265 x2
14 Br 0.4679 0.8084 0.2428 x2
15 Br 0.4878 0.4112 0.5719 x2

Computed properties:
E_form (uncorrected) (eV per atom): -0.715


Below is a relaxed Li2GeBr4 crystal, with properties calculated at the PBE-GGA level.

a b c (Å): 6.0058 6.0058 12.2637
angles (deg): 90.00 90.00 90.00
Space group I-42m (No. 121)
Inequivalent atoms, fractional coordinates:
1 Li 0.0000 0.5000 0.2500 x4
2 Ge 0.0000 0.0000 0.0000 x2
3 Br 0.2430 0.2430 0.6317 x8

Computed properties:
E_form (uncorrected) (eV per atom): -1.056
Offset from the most stable computed form (eV per atom): 0.0396


Below is a relaxed LiGeBr3 crystal, with properties calculated at the PBE-GGA level.

a b c (Å): 4.9917 4.9917 4.9917
angles (deg): 90.00 90.00 90.00
Space group Pm-3m (No. 221)
Inequivalent atoms, fractional coordinates:
1 Li 0.0000 0.0000 0.0000 x1
2 Ge 0.5000 0.5000 0.5000 x1
3 Br 0.0000 0.0000 0.5000 x3

Computed properties:
E_form (uncorrected) (eV per atom): -0.432


Below is a relaxed Li6GeBr8 crystal, with properties calculated at the PBE-GGA level.

a b c (Å): 11.1455 11.1455 11.1455
angles (deg): 90.00 90.00 90.00
Space group Fm-3m (No. 225)
Inequivalent atoms, fractional coordinates:
1 Li 0.0000 0.2500 0.2500 x24
2 Ge 0.0000 0.0000 0.0000 x4
3 Br 0.0000 0.0000 0.2515 x24
4 Br 0.2500 0.2500 0.2500 x8

Computed properties:
E_form (uncorrected) (eV per atom): -1.323


Below is a relaxed LiGe2Br crystal, with properties calculated at the PBE-GGA level.

a b c (Å): 3.6547 3.6547 28.7106
angles (deg): 90.00 90.00 90.00
Space group I-42d (No. 122)
Inequivalent atoms, fractional coordinates:
1 Li 0.0000 0.0000 0.0000 x4
2 Ge 0.2404 0.2500 0.1250 x8
3 Br 0.0000 0.0000 0.5000 x4

Computed properties:
E_form (uncorrected) (eV per atom): -0.347
Offset from the most stable computed form (eV per atom): 0.0000


Below is a relaxed LiGeBr6 crystal, with properties calculated at the PBE-GGA level.

a b c (Å): 6.7414 12.6695 7.3262
angles (deg): 90.00 116.70 90.00
Space group C2/m (No. 12)
Inequivalent atoms, fractional coordinates:
1 Li 0.0000 0.0000 0.0000 x2
2 Ge 0.0000 0.0000 0.5000 x2
3 Br 0.0266 0.1385 0.7499 x8
4 Br 0.0694 0.5000 0.3391 x4

Computed properties:
E_form (uncorrected) (eV per atom): -0.542


Below is a relaxed LiGe3Br crystal, with properties calculated at the PBE-GGA level.

a b c (Å): 5.2426 5.2426 5.2426
angles (deg): 90.00 90.00 90.00
Space group Pm-3m (No. 221)
Inequivalent atoms, fractional coordinates:
1 Li 0.0000 0.0000 0.0000 x1
2 Ge 0.0000 0.5000 0.5000 x3
3 Br 0.5000 0.5000 0.5000 x1

Computed properties:
E_form (uncorrected) (eV per atom): 0.763
Offset from the most stable computed form (eV per atom): 0.3064


Below is a relaxed LiGeBrN2 crystal, with properties calculated at the PBE-GGA level.

a b c (Å): 4.1889 4.1889 5.0144
angles (deg): 90.00 90.00 90.00
Space group P4/mmm (No. 123)
Inequivalent atoms, fractional coordinates:
1 Li 0.0000 0.0000 0.0000 x1
2 Ge 0.5000 0.5000 0.0000 x1
3 Br 0.5000 0.5000 0.5000 x1
4 N 0.0000 0.5000 0.5000 x2

Computed properties:
E_form (uncorrected) (eV per atom): 1.916


Below is a relaxed NaLiGe2Br crystal, with properties calculated at the PBE-GGA level.

a b c (Å): 5.1503 5.1503 5.6136
angles (deg): 90.00 90.00 90.00
Space group P4/mmm (No. 123)
Inequivalent atoms, fractional coordinates:
1 Na 0.0000 0.0000 0.0000 x1
2 Li 0.0000 0.0000 0.5000 x1
3 Ge 0.0000 0.5000 0.0000 x2
4 Br 0.5000 0.5000 0.5000 x1

Computed properties:
E_form (uncorrected) (eV per atom): 0.593


Below is a relaxed NaLiGeBr4 crystal, with properties calculated at the PBE-GGA level.

a b c (Å): 8.2752 8.3372 11.8135
angles (deg): 90.00 90.00 90.00
Space group Imma (No. 74)
Inequivalent atoms, fractional coordinates:
1 Na 0.2500 0.2500 0.2500 x4
2 Li 0.0000 0.2500 0.6408 x4
3 Ge 0.0000 0.0000 0.0000 x4
4 Br 0.0000 0.0023 0.2387 x8
5 Br 0.2398 0.2500 0.9967 x8

Computed properties:
E_form (uncorrected) (eV per atom): -1.110


Below is a relaxed Na2LiGeBr5 crystal, with properties calculated at the PBE-GGA level.

a b c (Å): 4.2079 17.2958 14.2825
angles (deg): 90.00 90.00 90.00
Space group Cmc2_1 (No. 36)
Inequivalent atoms, fractional coordinates:
1 Na 0.0000 0.0987 0.0000 x4
2 Na 0.0000 0.1550 0.6578 x4
3 Li 0.0000 0.2282 0.4059 x4
4 Ge 0.0000 0.4504 0.8023 x4
5 Br 0.0000 0.0678 0.4256 x4
6 Br 0.0000 0.2647 0.0382 x4
7 Br 0.0000 0.3026 0.7741 x4
8 Br 0.0000 0.3747 0.3464 x4
9 Br 0.0000 0.4898 0.6186 x4

Computed properties:
E_form (uncorrected) (eV per atom): -1.148


Below is a relaxed NaLi2GeBr6 crystal, with properties calculated at the PBE-GGA level.

a b c (Å): 14.2716 13.2157 7.5448
angles (deg): 90.00 111.95 90.00
Space group C2/c (No. 15)
Inequivalent atoms, fractional coordinates:
1 Na 0.0000 0.1140 0.2500 x4
2 Li 0.0758 0.4273 0.1520 x8
3 Ge 0.0000 0.1957 0.7500 x4
4 Br 0.1131 0.0794 0.6729 x8
5 Br 0.1165 0.4173 0.5062 x8
6 Br 0.1238 0.2415 0.0875 x8

Computed properties:
E_form (uncorrected) (eV per atom): -1.055


Below is a relaxed Li2GePbBr6 crystal, with properties calculated at the PBE-GGA level.

a b c (Å): 7.2250 7.2250 19.6542
angles (deg): 90.00 90.00 120.00
Space group R3 (No. 146, hexagonal axes)
Inequivalent atoms, fractional coordinates:
1 Li 0.0000 0.0000 0.0000 x3
2 Li 0.0000 0.0000 0.4811 x3
3 Ge 0.0000 0.0000 0.6720 x3
4 Pb 0.0000 0.0000 0.1843 x3
5 Br 0.0078 0.3704 0.7532 x9
6 Br 0.0138 0.6164 0.2573 x9

Computed properties:
E_form (uncorrected) (eV per atom): -1.033


Below is a relaxed LiGePt2Br crystal, with properties calculated at the PBE-GGA level.

a b c (Å): 4.5014 4.5014 4.5084
angles (deg): 90.00 90.00 90.00
Space group P4/mmm (No. 123)
Inequivalent atoms, fractional coordinates:
1 Li 0.0000 0.0000 0.0000 x1
2 Ge 0.5000 0.5000 0.5000 x1
3 Pt 0.0000 0.5000 0.0000 x2
4 Br 0.0000 0.0000 0.5000 x1

Computed properties:
E_form (uncorrected) (eV per atom): 0.466


Below is a relaxed Rb2Li2GeBr6 crystal, with properties calculated at the PBE-GGA level.

a b c (Å): 13.3112 7.8821 8.2501
angles (deg): 90.00 116.63 90.00
Space group C2/m (No. 12)
Inequivalent atoms, fractional coordinates:
1 Rb 0.2076 0.0000 0.1718 x4
2 Li 0.0645 0.5000 0.2767 x4
3 Ge 0.0000 0.0000 0.5000 x2
4 Br 0.0488 0.2437 0.7824 x8
5 Br 0.2329 0.0000 0.6045 x4

Computed properties:
E_form (uncorrected) (eV per atom): -1.307


Below is a relaxed Rb2LiGeBr5 crystal, with properties calculated at the PBE-GGA level.

a b c (Å): 4.3753 19.9227 14.2067
angles (deg): 90.00 90.00 90.00
Space group Cmc2_1 (No. 36)
Inequivalent atoms, fractional coordinates:
1 Rb 0.0000 0.0989 0.0000 x4
2 Rb 0.0000 0.1257 0.6270 x4
3 Li 0.0000 0.4310 0.7760 x4
4 Ge 0.0000 0.2150 0.3480 x4
5 Br 0.0000 0.0647 0.3709 x4
6 Br 0.0000 0.2756 0.9823 x4
7 Br 0.0000 0.3042 0.7166 x4
8 Br 0.0000 0.3475 0.3218 x4
9 Br 0.0000 0.4946 0.6254 x4

Computed properties:
E_form (uncorrected) (eV per atom): -1.313


Below is a relaxed Rb4LiGe3Br12 crystal, with properties calculated at the PBE-GGA level.

a b c (Å): 10.9494 10.9494 10.9494
angles (deg): 90.00 90.00 90.00
Space group Im-3m (No. 229)
Inequivalent atoms, fractional coordinates:
1 Rb 0.2500 0.2500 0.2500 x8
2 Li 0.0000 0.0000 0.0000 x2
3 Ge 0.0000 0.0000 0.5000 x6
4 Br 0.0000 0.0000 0.2528 x12
5 Br 0.0000 0.2500 0.5000 x12

Computed properties:
E_form (uncorrected) (eV per atom): -1.118


We obtain mass density values of 3.79, 3.17, 2.64, 3.09, 3.05, 4.26, 3.61, 4.02, 3.32, 3.51, 3.54, 2.85, 3.44, 3.36, 2.96, 4.34, 9.99, 3.16, 3.49, 3.86 g cm⁻³ for the records listed above, in that order.